Th3Al2Zn4: relaxed, PBE.

For the formation energy, the calculation gives -2.98 eV per formula unit. The total magnetization is 0.0 μB/f.u.

The structure belongs to space group C2/m (No. 12); the cell edges are 10.904, 4.522 and 8.703 Å and the angles 90.00°, 110.48° and 90.00°. Symmetry generates all atoms from Th at (0.000, 0.000, 0.000), Th at (0.163, 0.500, 0.671), Al at (0.114, 0.500, 0.280), Zn at (0.065, 0.000, 0.399) and Zn at (0.218, 0.500, 0.050).